Record 1
MnBCl2: optimized geometry, GGA-PBE.

Properties
- E above lowest polymorph (meV/atom) = 0

CIF file:
```
data_MnBCl2
_chemical_formula_sum 'Mn1 B1 Cl2'
_space_group_name_H-M_alt 'P 1'
_space_group_IT_number 1
_cell_length_a 7.9315
_cell_length_b 7.9315
_cell_length_c 7.9315
_cell_angle_alpha 25.77
_cell_angle_beta 25.77
_cell_angle_gamma 25.77
loop_
_space_group_symop_operation_xyz
'x,y,z'
loop_
_atom_site_label
_atom_site_fract_x
_atom_site_fract_y
_atom_site_fract_z
B1 0.5000 0.5000 0.5000
Mn1 0.0000 0.0000 0.0000
Cl1 0.9019 0.9019 0.9019
Cl2 0.0981 0.0981 0.0981
```


Record 2
LaMnCd2: optimized geometry, GGA-PBE.

Properties
- formation enthalpy at 0 K (eV per atom) = 0.269

CIF file:
```
data_LaMnCd2
_chemical_formula_sum 'La1 Mn1 Cd2'
_space_group_name_H-M_alt 'P 1'
_space_group_IT_number 1
_cell_length_a 10.4132
_cell_length_b 10.4132
_cell_length_c 10.4132
_cell_angle_alpha 18.21
_cell_angle_beta 18.21
_cell_angle_gamma 18.21
loop_
_space_group_symop_operation_xyz
'x,y,z'
loop_
_atom_site_label
_atom_site_fract_x
_atom_site_fract_y
_atom_site_fract_z
Cd1 0.0060 0.0060 0.0060
Cd2 0.2562 0.2562 0.2562
La1 0.4941 0.4941 0.4941
Mn1 0.7438 0.7438 0.7438
```


Record 3
NaSr3Hg: optimized geometry, GGA-PBE.

Properties
- formation enthalpy at 0 K (eV per atom) = -0.135
- E above lowest polymorph (meV/atom) = 42

CIF file:
```
data_NaSr3Hg
_chemical_formula_sum 'Na1 Sr3 Hg1'
_space_group_name_H-M_alt 'P 1'
_space_group_IT_number 1
_cell_length_a 6.3408
_cell_length_b 6.3408
_cell_length_c 6.3408
_cell_angle_alpha 90.00
_cell_angle_beta 90.00
_cell_angle_gamma 90.00
loop_
_space_group_symop_operation_xyz
'x,y,z'
loop_
_atom_site_label
_atom_site_fract_x
_atom_site_fract_y
_atom_site_fract_z
Sr1 0.0000 0.5000 0.0000
Sr2 0.0000 0.0000 0.5000
Sr3 0.5000 0.0000 0.0000
Hg1 0.0000 0.0000 0.0000
Na1 0.5000 0.5000 0.5000
```


Record 4
Pm2Ho7Tl2: optimized geometry, GGA-PBE.

Properties
- formation enthalpy at 0 K (eV per atom) = -0.075

CIF file:
```
data_Pm2Ho7Tl2
_chemical_formula_sum 'Pm2 Ho7 Tl2'
_space_group_name_H-M_alt 'P 1'
_space_group_IT_number 1
_cell_length_a 8.5345
_cell_length_b 6.4886
_cell_length_c 6.4886
_cell_angle_alpha 97.71
_cell_angle_beta 77.89
_cell_angle_gamma 77.89
loop_
_space_group_symop_operation_xyz
'x,y,z'
loop_
_atom_site_label
_atom_site_fract_x
_atom_site_fract_y
_atom_site_fract_z
Pm1 0.5000 0.3194 0.6806
Pm2 0.5000 0.6806 0.3194
Ho1 0.1746 0.1180 0.4775
Ho2 0.8254 0.5225 0.8820
Ho3 0.8254 0.8820 0.5225
Ho4 0.1746 0.4775 0.1180
Ho5 0.0000 0.0000 0.0000
Ho6 0.4133 0.8620 0.8620
Ho7 0.5867 0.1380 0.1380
Tl1 0.8375 0.3750 0.3750
Tl2 0.1625 0.6250 0.6250
```


Number 1: calculated volume 83.07 Å³/f.u., total moment 4.000 μB/f.u.. Number 2: calculated volume 96.29 Å³/f.u., total moment 3.495 μB/f.u.. Number 3: calculated volume 254.94 Å³/f.u., total moment 0.000 μB/f.u.. Number 4: calculated volume 337.48 Å³/f.u., total moment 0.000 μB/f.u..